[1]
# CaBi3Pd

CaBi3Pd after structural relaxation (PBEsol, Alexandria via LeMat-Bulk).

Results
**ΔE_f**: -0.119 eV per atom
**Space-group type**: No. 221

Cell: 5.373 5.373 5.373 Å, 90.00 90.00 90.00°
Element x y z (fractional)
Bi 0.500 0.000 0.000
Bi 0.000 0.500 0.000
Bi 0.000 0.000 0.500
Ca 0.500 0.500 0.500
Pd 0.000 0.000 0.000

***

[2]
# CaBi3Pt

CaBi3Pt after structural relaxation (PBEsol, Alexandria via LeMat-Bulk).

Results
**ΔE_f**: 1.155 eV per atom
**Space-group type**: No. 221

Cell: 5.553 5.553 5.553 Å, 90.00 90.00 90.00°
Element x y z (fractional)
Pt 0.500 0.500 0.500
Bi 0.000 0.000 0.500
Bi 0.000 0.500 0.000
Bi 0.500 0.000 0.000
Ca 0.000 0.000 0.000

***

[3]
# CaBiPt2

CaBiPt2 after structural relaxation (PBEsol, Alexandria via LeMat-Bulk).

Results
**ΔE_f**: -0.088 eV per atom
**Space-group type**: No. 122

Cell: 4.369 4.369 9.813 Å, 102.86 102.86 90.00°
Element x y z (fractional)
Bi 0.000 0.000 0.000
Bi 0.250 0.750 0.500
Ca 0.500 0.500 0.000
Ca 0.750 0.250 0.500
Pt 0.342 0.875 0.250
Pt 0.908 0.375 0.250
Pt 0.125 0.092 0.750
Pt 0.625 0.658 0.750

***

The lowest ΔE_f belongs to which entry?
CaBi3Pd

***

What is the ΔE_f in the third record?
-0.088 eV per atom